This record from the Alexandria database describes an optimized crystal structure of Mg7Tl2Sn3. The functional is PBE.

Cell and atoms, written as CIF:
```
data_Mg7Tl2Sn3
_cell_length_a 4.402
_cell_length_b 33.997
_cell_length_c 4.356
_cell_angle_alpha 90.00
_cell_angle_beta 90.00
_cell_angle_gamma 90.00
_space_group_name_H-M_alt 'C m m m'
_space_group_IT_number 65
_space_group_name_Hall '-C 2 2'
loop_
_atom_site_label
_atom_site_fract_x
_atom_site_fract_y
_atom_site_fract_z
Mg1 0.000 0.000 0.000
Mg2 0.000 0.068 0.500
Mg3 0.000 0.217 0.000
Mg4 0.000 0.432 0.000
Tl1 0.000 0.132 0.000
Sn1 0.000 0.285 0.500
Sn2 0.000 0.500 0.500
```



This record from the Alexandria database describes an optimized crystal structure of Mg12TlSn3. The functional is PBE.

Cell and atoms, written as CIF:
```
data_Mg12TlSn3
_cell_length_a 4.467
_cell_length_b 4.467
_cell_length_c 18.232
_cell_angle_alpha 90.00
_cell_angle_beta 90.00
_cell_angle_gamma 90.00
_space_group_name_H-M_alt 'P 4/m m m'
_space_group_IT_number 123
_space_group_name_Hall '-P 4 2'
loop_
_atom_site_label
_atom_site_fract_x
_atom_site_fract_y
_atom_site_fract_z
Mg1 0.000 0.000 0.000
Mg2 0.000 0.000 0.248
Mg3 0.000 0.000 0.500
Mg4 0.000 0.500 0.123
Mg5 0.000 0.500 0.372
Tl1 0.500 0.500 0.500
Sn1 0.500 0.500 0.000
Sn2 0.500 0.500 0.249
```



This record from the Alexandria database describes an optimized crystal structure of MgTl12Sn6. The functional is PBE.

Cell and atoms, written as CIF:
```
data_MgTl12Sn6
_cell_length_a 14.8029
_cell_length_b 14.8029
_cell_length_c 9.4433
_cell_angle_alpha 90.00
_cell_angle_beta 90.00
_cell_angle_gamma 120.00
_space_group_name_H-M_alt 'R -3'
_space_group_IT_number 148
_space_group_name_Hall '-R 3'
loop_
_atom_site_label
_atom_site_fract_x
_atom_site_fract_y
_atom_site_fract_z
Mg1 0.0000 0.0000 0.0000
Tl1 0.0205 0.7893 0.0571
Tl2 0.0651 0.8026 0.4452
Sn1 0.0227 0.8891 0.7391
```



VASP energy for the records above, in order: -55.48; -35.27; -160.71 eV for the cell shown